# MoAu2S, relaxed, DFT PBE-GGA
data_MoAu2S
_space_group_name_H-M_alt 'I -4 2 d'
_space_group_IT_number 122
_space_group_name_Hall 'I -4 2bw'
_cell_length_a 7.530
_cell_length_b 7.530
_cell_length_c 5.133
_cell_angle_alpha 90.00
_cell_angle_beta 90.00
_cell_angle_gamma 90.00
loop_
_atom_site_label
_atom_site_type_symbol
_atom_site_fract_x
_atom_site_fract_y
_atom_site_fract_z
_atom_site_occupancy
Mo1 Mo 0.000 0.000 0.000 1
Au1 Au 0.229 0.750 0.625 1
S1 S 0.000 0.000 0.500 1
# energy: -78.636 eV per cell
# magnetic moment: 0.494 μB per atom
# uncorrected formation energy: 0.46 eV/atom
# density of states at the Fermi level: 11.1 states/eV per cell



# SrTbSc, relaxed, DFT PBE-GGA
data_SrTbSc
_space_group_name_H-M_alt 'I 4 m m'
_space_group_IT_number 107
_space_group_name_Hall 'I 4 -2'
_cell_length_a 3.703
_cell_length_b 3.703
_cell_length_c 15.165
_cell_angle_alpha 90.00
_cell_angle_beta 90.00
_cell_angle_gamma 90.00
loop_
_atom_site_label
_atom_site_type_symbol
_atom_site_fract_x
_atom_site_fract_y
_atom_site_fract_z
_atom_site_occupancy
Sr1 Sr 0.000 0.000 0.000 1
Tb1 Tb 0.000 0.000 0.308 1
Sc1 Sc 0.000 0.000 0.676 1
# energy: -24.123 eV per cell
# magnetic moment: 0.001 μB per atom
# excess energy over the best structure of this formula in the dataset: 0 meV/atom
# density of states at the Fermi level: 11.6 states/eV per cell